Computed, not measured: crystalline Mn2SbIr at its relaxed geometry at the PBE level of DFT.

**Magnetization**: 1.603 μB/atom
**Formation energy (no corrections)**: 0.1858 eV/atom

Lattice parameters (Å, degrees): 3.383 3.383 5.550 90.00 90.00 90.00
Positions (direct):
Mn: 0.000 0.000 0.002
Mn: 0.500 0.500 0.237
Ir: 0.500 0.500 0.768
Sb: 0.000 0.000 0.494


Computed, not measured: crystalline MnSb2Ir at its relaxed geometry at the PBE level of DFT.

**Magnetization**: 0.933 μB/atom
**Offset from the most stable computed form**: 109 kJ/mol of formula units
**Formation energy (no corrections)**: 0.2758 eV/atom

Lattice parameters (Å, degrees): 5.535 5.535 5.535 137.55 137.55 61.59
Positions (direct):
Sb: 0.000 0.000 0.000
Mn: 0.750 0.250 0.500
Ir: 0.500 0.500 0.000
Sb: 0.250 0.750 0.500


Computed, not measured: crystalline MnSbIr4 at its relaxed geometry at the PBE level of DFT.

**Magnetization**: 0.817 μB/atom
**Formation energy (no corrections)**: 0.3237 eV/atom

Lattice parameters (Å, degrees): 5.264 5.264 5.264 60.00 60.00 60.00
Positions (direct):
Ir: 0.375 0.375 0.375
Ir: 0.375 0.375 0.874
Mn: 0.750 0.750 0.750
Ir: 0.874 0.375 0.375
Sb: 0.000 0.000 0.000
Ir: 0.375 0.874 0.375


Computed, not measured: crystalline Mn2SbIr at its relaxed geometry at the PBE level of DFT.

**Magnetization**: 1.808 μB/atom
**Formation energy (no corrections)**: 0.1150 eV/atom

Lattice parameters (Å, degrees): 3.837 3.030 6.312 61.19 90.00 90.00
Positions (direct):
Sb: 0.500 0.250 0.250
Ir: 0.500 0.750 0.750
Mn: 0.000 0.484 0.516
Mn: 0.000 0.016 0.984


Computed, not measured: crystalline MnSbIr at its relaxed geometry at the PBE level of DFT.

**Magnetization**: 1.386 μB/atom
**Formation energy (no corrections)**: 0.1793 eV/atom

Lattice parameters (Å, degrees): 5.754 5.754 3.153 74.10 74.10 31.80
Positions (direct):
Sb: 0.658 0.657 0.342
Mn: 0.348 0.348 0.652
Ir: 0.995 0.995 0.005


Computed, not measured: crystalline MnSb2Ir at its relaxed geometry at the PBE level of DFT.

**Magnetization**: 0.898 μB/atom
**Offset from the most stable computed form**: 101 kJ/mol of formula units
**Formation energy (no corrections)**: 0.2552 eV/atom

Lattice parameters (Å, degrees): 3.139 3.541 7.655 62.42 90.00 90.00
Positions (direct):
Mn: 0.500 0.750 0.750
Ir: 0.500 0.250 0.250
Sb: 0.000 0.506 0.494
Sb: 0.000 0.994 0.006